1.
Entry from Alexandria via LeMat-Bulk: a geometry-optimized LiReTe3 structure (GGA-PBE).

Properties
M_tot: 0.000 μB/atom
electronic total energy: -0.25876 Ry per atom
DOS at the Fermi energy: 6.75 states/eV per cell
ΔE_f (raw): 1.2368 eV per atom

Cell lengths 4.826, 4.826, 4.826 Å; angles 90.00, 90.00, 90.00 degrees
Space group Pm-3m (No. 221)
Inequivalent atoms, fractional coordinates:
Li: 0.000 0.000 0.000 x1
Re: 0.500 0.500 0.500 x1
Te: 0.000 0.000 0.500 x3

---

2.
Entry from Alexandria via LeMat-Bulk: a geometry-optimized Li4ReTe structure (GGA-PBE).

Properties
M_tot: 0.224 μB/atom
electronic total energy: -0.25921 Ry per atom
DOS at the Fermi energy: 20.07 states/eV per cell
ΔE_f (raw): 0.3474 eV per atom

Cell lengths 7.014, 7.014, 7.014 Å; angles 90.00, 90.00, 90.00 degrees
Space group F-43m (No. 216)
Inequivalent atoms, fractional coordinates:
Li: 0.122 0.122 0.122 x16
Re: 0.250 0.250 0.750 x4
Te: 0.000 0.000 0.500 x4

---

3.
Entry from Alexandria via LeMat-Bulk: a geometry-optimized LiRe2Te structure (GGA-PBE).

Properties
M_tot: 0.000 μB/atom
electronic total energy: -0.51349 Ry per atom
DOS at the Fermi energy: 5.96 states/eV per cell
ΔE_f (raw): 0.5015 eV per atom

Cell lengths 9.396, 3.103, 4.542 Å; angles 90.00, 97.17, 90.00 degrees
Space group C2/m (No. 12)
Inequivalent atoms, fractional coordinates:
Li: 0.000 0.000 0.000 x2
Re: 0.245 0.000 0.774 x4
Te: 0.000 0.500 0.500 x2

---

4.
Entry from Alexandria via LeMat-Bulk: a geometry-optimized LiRe2Te structure (GGA-PBE).

Properties
M_tot: 0.000 μB/atom
electronic total energy: -0.51490 Ry per atom
DOS at the Fermi energy: 5.21 states/eV per cell
ΔE_f (raw): 0.4824 eV per atom

Cell lengths 8.326, 3.198, 5.229 Å; angles 90.00, 99.97, 90.00 degrees
Space group Cm (No. 8)
Inequivalent atoms, fractional coordinates:
Li: 0.000 0.000 0.000 x2
Re: 0.261 0.500 0.248 x2
Re: 0.486 0.000 0.431 x2
Te: 0.243 0.000 0.775 x2

---

5.
Entry from Alexandria via LeMat-Bulk: a geometry-optimized LiRe4Te structure (GGA-PBE).

Properties
M_tot: 0.000 μB/atom
electronic total energy: -0.62294 Ry per atom
DOS at the Fermi energy: 20.00 states/eV per cell
ΔE_f (raw): 0.6658 eV per atom

Cell lengths 7.482, 7.482, 7.482 Å; angles 90.00, 90.00, 90.00 degrees
Space group F-43m (No. 216)
Inequivalent atoms, fractional coordinates:
Li: 0.000 0.000 0.000 x4
Re: 0.125 0.125 0.625 x16
Te: 0.250 0.250 0.250 x4

---

6.
Entry from Alexandria via LeMat-Bulk: a geometry-optimized LiRe2Te structure (GGA-PBE).

Properties
M_tot: 0.000 μB/atom
electronic total energy: -0.52538 Ry per atom
DOS at the Fermi energy: 1.93 states/eV per cell
ΔE_f (raw): 0.3398 eV per atom

Cell lengths 3.188, 3.188, 6.223 Å; angles 90.00, 90.00, 90.00 degrees
Space group P4mm (No. 99)
Inequivalent atoms, fractional coordinates:
Li: 0.000 0.000 0.000 x1
Re: 0.000 0.000 0.452 x1
Re: 0.500 0.500 0.220 x1
Te: 0.500 0.500 0.758 x1